Cs6Rb2HAu2 (PBE, optimized geometry); V = 70.155 Å³ per atom; spin magnetization = 0.00 Bohr magnetons per cell; E_tot = -1.66 eV/atom; ρ = 2.93 g cm⁻³; SG = C2/m
1.0
8.7970 -0.1883 -1.0044
-4.5117 7.5544 -1.0044
-2.8193 -4.8461 13.0842
Cs Rb H Au
6 2 1 2
Cartesian
4.0314 2.2836 3.0046
-0.0074 4.6333 3.0046
1.7831 3.0650 6.9137
-0.3171 -0.5451 4.1618
-2.5654 0.2363 8.0708
1.4734 -2.1134 8.0708
-2.3223 6.2806 -1.0044
6.6077 1.0854 -1.0044
-1.4097 -2.4231 6.5421
2.9651 -0.0386 5.5377
-1.4991 2.5586 5.5377